No. 1
The following is a PBE calculation of crystalline NiRh2Br at its relaxed geometry, from the Alexandria database.

a b c (Å): 2.810 4.960 8.880
angles (deg): 90.00 90.00 90.00
Space group Cmm2 (No. 35)
Inequivalent atoms, fractional coordinates:
Ni1 0.000 0.000 0.000
Rh1 0.000 0.000 0.515
Rh2 0.000 0.500 0.765
Br1 0.000 0.500 0.237

Summary:
distance to the lowest polymorph of the same formula = 1.02 eV/f.u.
calculated volume = 61.9 Å³/f.u.
E_form (uncorrected) = 0.61 eV/atom
VASP energy = -39.46 eV for the cell shown

No. 2
The following is a PBE calculation of crystalline Mg2CrCu2 at its relaxed geometry, from the Alexandria database.

a b c (Å): 7.163 7.163 2.925
angles (deg): 90.00 90.00 90.00
Space group P4/mbm (No. 127)
Inequivalent atoms, fractional coordinates:
Mg1 0.173 0.327 0.000
Cr1 0.000 0.000 0.500
Cu1 0.126 0.626 0.500

Summary:
E_form = 414 meV per atom
calculated volume = 75.0 Å³/f.u.
VASP energy = -37.87 eV for the cell shown

No. 3
The following is a PBE calculation of crystalline Mn2TlCr at its relaxed geometry, from the Alexandria database.

a b c (Å): 3.975 3.975 18.571
angles (deg): 90.00 90.00 90.00
Space group I-42d (No. 122)
Inequivalent atoms, fractional coordinates:
Mn1 0.238 0.250 0.125
Tl1 0.000 0.000 0.500
Cr1 0.000 0.000 0.000

Summary:
distance to the lowest polymorph of the same formula = 1.95 eV/f.u.
E_form = 849 meV per atom
calculated volume = 73.4 Å³/f.u.
VASP energy = -107.73 eV for the cell shown

No. 4
The following is a PBE calculation of crystalline KCa2Ta at its relaxed geometry, from the Alexandria database.

a b c (Å): 3.4473 3.4473 38.5263
angles (deg): 90.00 90.00 120.00
Space group R-3m (No. 166, hexagonal axes)
Inequivalent atoms, fractional coordinates:
K1 0.0000 0.0000 0.0000
Ca1 0.0000 0.0000 0.2328
Ta1 0.0000 0.0000 0.5000

Summary:
distance to the lowest polymorph of the same formula = 0.19 eV/f.u.
E_form = 685 meV per atom
calculated volume = 132.2 Å³/f.u.
VASP energy = -42.64 eV for the cell shown

| no. | spin magnetization (μB/cell) |
| --- | --- |
| 1 | 0.591 |
| 2 | 0.001 |
| 3 | 15.030 |
| 4 | 0.000 |